No. 1
First-principles (PBEsol) data for a relaxed HgMoAu2 crystal, as listed in the Alexandria database.

Lattice parameters (Å, degrees): 5.8404 5.8404 5.8404 152.57 128.80 59.06
Positions (direct):
Hg 0.0000 0.0000 0.0000
Mo 0.5000 0.5000 0.0000
Au 0.2637 0.7637 0.5000
Au 0.7363 0.2363 0.5000

formation energy from the elements: 0.390 eV per atom
crystal system: orthorhombic
total energy: -4.66 eV per atom
density of states at the Fermi level: 3.36 states/eV/cell

***

No. 2
First-principles (PBEsol) data for a relaxed LiAgF2 crystal, as listed in the Alexandria database.

Lattice parameters (Å, degrees): 6.2074 6.2074 6.5656 90.03 90.03 127.62
Positions (direct):
Li 0.0658 0.4347 0.1434
Li 0.4347 0.0658 0.6434
Li 0.5653 0.9342 0.3566
Li 0.9342 0.5653 0.8566
Ag 0.1836 0.3160 0.5516
Ag 0.3160 0.1836 0.0516
Ag 0.6840 0.8164 0.9484
Ag 0.8164 0.6840 0.4484
F 0.0984 0.4011 0.8669
F 0.0978 0.9022 0.7500
F 0.4011 0.0984 0.3669
F 0.4028 0.5972 0.2500
F 0.5972 0.4028 0.7500
F 0.5989 0.9016 0.6331
F 0.9022 0.0978 0.2500
F 0.9016 0.5989 0.1331

energy relative to the elements, uncorrected: -1.839 eV per atom
crystal system: monoclinic
total energy: -4.12 eV per atom
energy relative to the lowest polymorph listed for this composition: 111 meV/atom
density of states at the Fermi level: 0.00 states/eV/cell